1.
{
  "formula": "Ca3PW",
  "functional": "meta-GGA SCAN",
  "state": "PBEsol geometry",
  "sg": "No. 221",
  "relative_energy_mev_per_atom": 650.5,
  "cell": [[5.263, 0.000, 0.000], [0.000, 5.263, 0.000], [0.000, 0.000, 5.263]],
  "species": ["Ca", "Ca", "Ca", "P", "W"],
  "frac_coords": [[0.000, 0.000, 0.500], [0.000, 0.500, 0.000], [0.500, 0.000, 0.000], [0.500, 0.500, 0.500], [0.000, 0.000, 0.000]]
}

---

2.
{
  "formula": "CaY4P",
  "functional": "meta-GGA SCAN",
  "state": "PBEsol geometry",
  "sg": "No. 216",
  "cell": [[0.000, 4.493, 4.493], [4.493, 0.000, 4.493], [4.493, 4.493, 0.000]],
  "species": ["Ca", "Y", "Y", "Y", "Y", "P"],
  "frac_coords": [[0.000, 0.000, 0.000], [0.125, 0.625, 0.625], [0.625, 0.125, 0.625], [0.625, 0.625, 0.125], [0.625, 0.625, 0.625], [0.250, 0.250, 0.250]]
}

---

3.
{
  "formula": "CaYP",
  "functional": "meta-GGA SCAN",
  "state": "PBEsol geometry",
  "sg": "No. 107",
  "cell": [[-1.763, 1.763, 6.298], [1.763, -1.763, 6.298], [1.763, 1.763, -6.298]],
  "species": ["Ca", "Y", "P"],
  "frac_coords": [[0.000, 0.000, 0.000], [0.250, 0.250, 0.000], [0.644, 0.644, 0.000]]
}

---

4.
{
  "formula": "Ca3YP",
  "functional": "meta-GGA SCAN",
  "state": "PBEsol geometry",
  "sg": "No. 221",
  "cell": [[5.531, 0.000, 0.000], [0.000, 5.531, 0.000], [0.000, 0.000, 5.531]],
  "species": ["Ca", "Ca", "Ca", "Y", "P"],
  "frac_coords": [[0.000, 0.000, 0.500], [0.000, 0.500, 0.000], [0.500, 0.000, 0.000], [0.500, 0.500, 0.500], [0.000, 0.000, 0.000]]
}

---

5.
{
  "formula": "CaYP3",
  "functional": "meta-GGA SCAN",
  "state": "PBEsol geometry",
  "sg": "No. 221",
  "cell": [[4.927, 0.000, 0.000], [0.000, 4.927, 0.000], [0.000, 0.000, 4.927]],
  "species": ["Ca", "Y", "P", "P", "P"],
  "frac_coords": [[0.000, 0.000, 0.000], [0.500, 0.500, 0.500], [0.000, 0.000, 0.500], [0.000, 0.500, 0.000], [0.500, 0.000, 0.000]]
}

---

6.
{
  "formula": "CaYP2",
  "functional": "meta-GGA SCAN",
  "state": "PBEsol geometry",
  "sg": "No. 122",
  "cell": [[-3.673, 3.673, 3.401], [3.673, -3.673, 3.401], [3.673, 3.673, -3.401]],
  "species": ["Ca", "Ca", "Y", "Y", "P", "P", "P", "P"],
  "frac_coords": [[0.000, 0.000, 0.000], [0.750, 0.250, 0.500], [0.250, 0.750, 0.500], [0.500, 0.500, 0.000], [0.131, 0.125, 0.506], [0.375, 0.869, 0.994], [0.619, 0.625, 0.494], [0.875, 0.381, 0.006]]
}

---

| no. | ΔE_f (eV/atom) | electronic total energy (Ha/atom) | calculated density (g/cm³) |
| --- | --- | --- | --- |
| 1 | 1.14 | -0.7600 | 3.8 |
| 2 | 0.47 | -0.7879 | 3.9 |
| 3 | -0.88 | -0.6190 | 3.4 |
| 4 | -0.35 | -0.5070 | 2.4 |
| 5 | 0.29 | -0.4943 | 3.1 |
| 6 | -1.07 | -0.5748 | 3.5 |